{
  "formula": "CaBiO2F",
  "functional": "GGA-PBEsol",
  "state": "optimized geometry",
  "lattice": [[-2.995, 0.674, -2.613], [-2.894, -1.285, 2.987], [-0.334, 4.095, 1.438]],
  "species": ["Ca", "Bi", "O", "O", "F"],
  "frac_coords": [[0.000, 0.000, 0.000], [0.500, 0.500, 0.500], [0.000, 0.000, 0.500], [0.000, 0.500, 0.000], [0.500, 0.000, 0.000]],
  "sg": "No. 123"
}

---

{
  "formula": "MgGeSbCl2",
  "functional": "GGA-PBEsol",
  "state": "optimized geometry",
  "lattice": [[-3.103, 2.924, -2.856], [-3.522, -3.733, 0.005], [-2.333, 2.207, 4.795]],
  "species": ["Sb", "Ge", "Mg", "Cl", "Cl"],
  "frac_coords": [[0.000, 0.000, 0.000], [0.500, 0.500, 0.500], [0.000, 0.000, 0.500], [0.000, 0.500, 0.000], [0.500, 0.000, 0.000]],
  "sg": "No. 123"
}

---

In Bohr magnetons per cell, the magnetic moment values for the records above are, in order, 0.00; 1.11.
In eV/atom, the raw formation energy values for the records above are, in order, -1.608; 0.213.